A relaxed LiZrCr2 crystal. Source: Alexandria, functional PBE.

Cell lengths 2.9844, 2.9844, 7.3440 Å; angles 90.00, 90.00, 90.00 degrees
Space group P4mm (No. 99)
Symmetry-distinct sites (fractional):
Li: 0.0000 0.0000 0.0000 (multiplicity 1)
Zr: 0.5000 0.5000 0.3300 (multiplicity 1)
Cr: 0.0000 0.0000 0.5898 (multiplicity 1)
Cr: 0.5000 0.5000 0.7529 (multiplicity 1)

final energy	-7.145	eV per atom
DOS(E_F)	3.3	states/eV/cell
crystal system	tetragonal
ΔE_f	0.282	eV/atom



A relaxed LiZrCr2 crystal. Source: Alexandria, functional PBE.

Cell lengths 6.9780, 6.9780, 5.5165 Å; angles 90.00, 90.00, 90.00 degrees
Space group I-42d (No. 122)
Symmetry-distinct sites (fractional):
Li: 0.0000 0.0000 0.0000 (multiplicity 4)
Zr: 0.0000 0.0000 0.5000 (multiplicity 4)
Cr: 0.2182 0.2500 0.1250 (multiplicity 8)

final energy	-6.613	eV per atom
DOS(E_F)	20.2	states/eV/cell
crystal system	tetragonal
ΔE_f	0.815	eV/atom



A relaxed LiZrCr2 crystal. Source: Alexandria, functional PBE.

Cell lengths 3.0524, 3.0524, 27.5579 Å; angles 90.00, 90.00, 120.00 degrees
Space group R-3m (No. 166, hexagonal axes)
Symmetry-distinct sites (fractional):
Li: 0.0000 0.0000 0.0000 (multiplicity 3)
Zr: 0.0000 0.0000 0.5000 (multiplicity 3)
Cr: 0.0000 0.0000 0.2481 (multiplicity 6)

final energy	-6.773	eV per atom
DOS(E_F)	12.4	states/eV/cell
crystal system	trigonal
ΔE_f	0.654	eV/atom



A relaxed LiZrCr2 crystal. Source: Alexandria, functional PBE.

Cell lengths 2.9877, 4.6585, 9.1397 Å; angles 90.00, 90.00, 90.00 degrees
Space group Cmm2 (No. 35)
Symmetry-distinct sites (fractional):
Li: 0.0000 0.0000 0.0000 (multiplicity 2)
Zr: 0.0000 0.5000 0.6928 (multiplicity 2)
Cr: 0.0000 0.0000 0.4304 (multiplicity 2)
Cr: 0.0000 0.5000 0.2532 (multiplicity 2)

final energy	-7.065	eV per atom
DOS(E_F)	5.8	states/eV/cell
crystal system	orthorhombic
ΔE_f	0.362	eV/atom



A relaxed LiZrCr2 crystal. Source: Alexandria, functional PBE.

Cell lengths 3.1913, 4.5741, 8.6816 Å; angles 90.00, 90.00, 90.00 degrees
Space group Imm2 (No. 44)
Symmetry-distinct sites (fractional):
Li: 0.0000 0.0000 0.0000 (multiplicity 2)
Zr: 0.0000 0.5000 0.7803 (multiplicity 2)
Cr: 0.0000 0.0000 0.5499 (multiplicity 2)
Cr: 0.0000 0.5000 0.2349 (multiplicity 2)

final energy	-7.032	eV per atom
DOS(E_F)	7.4	states/eV/cell
crystal system	orthorhombic
ΔE_f	0.395	eV/atom



A relaxed LiZr2Cr crystal. Source: Alexandria, functional PBE.

Cell lengths 6.7059, 6.7059, 6.7059 Å; angles 90.00, 90.00, 90.00 degrees
Space group F-43m (No. 216)
Symmetry-distinct sites (fractional):
Li: 0.0000 0.0000 0.0000 (multiplicity 4)
Zr: 0.0000 0.0000 0.5000 (multiplicity 4)
Zr: 0.2500 0.2500 0.2500 (multiplicity 4)
Cr: 0.2500 0.2500 0.7500 (multiplicity 4)

final energy	-6.743	eV per atom
DOS(E_F)	21.7	states/eV/cell
crystal system	cubic
ΔE_f	0.415	eV/atom



A relaxed Li2ZrCr2 crystal. Source: Alexandria, functional PBE.

Cell lengths 3.7049, 3.7049, 11.9368 Å; angles 90.00, 90.00, 90.00 degrees
Space group I4/mmm (No. 139)
Symmetry-distinct sites (fractional):
Li: 0.0000 0.5000 0.2500 (multiplicity 4)
Zr: 0.0000 0.0000 0.0000 (multiplicity 2)
Cr: 0.0000 0.0000 0.4186 (multiplicity 4)

final energy	-5.835	eV per atom
DOS(E_F)	9.1	states/eV/cell
energy relative to the lowest polymorph listed for this composition	0.000	eV per atom
crystal system	tetragonal
ΔE_f	0.489	eV/atom



A relaxed Li2ZrCr2 crystal. Source: Alexandria, functional PBE.

Cell lengths 7.5118, 7.5118, 2.6799 Å; angles 90.00, 90.00, 90.00 degrees
Space group P4/mbm (No. 127)
Symmetry-distinct sites (fractional):
Li: 0.1978 0.3022 0.0000 (multiplicity 4)
Zr: 0.0000 0.0000 0.5000 (multiplicity 2)
Cr: 0.0901 0.5901 0.5000 (multiplicity 4)

final energy	-5.734	eV per atom
DOS(E_F)	9.9	states/eV/cell
energy relative to the lowest polymorph listed for this composition	0.101	eV per atom
crystal system	tetragonal
ΔE_f	0.590	eV/atom



A relaxed LiZr2Cr crystal. Source: Alexandria, functional PBE.

Cell lengths 10.7412, 3.2761, 4.7224 Å; angles 90.00, 115.98, 90.00 degrees
Space group Cm (No. 8)
Symmetry-distinct sites (fractional):
Li: 0.0000 0.0000 0.0000 (multiplicity 2)
Zr: 0.0372 0.5000 0.5369 (multiplicity 2)
Zr: 0.2641 0.5000 0.2631 (multiplicity 2)
Cr: 0.2799 0.0000 0.7785 (multiplicity 2)

final energy	-6.853	eV per atom
DOS(E_F)	8.2	states/eV/cell
crystal system	monoclinic
ΔE_f	0.305	eV/atom



A relaxed LiZrCr2 crystal. Source: Alexandria, functional PBE.

Cell lengths 5.1450, 9.1571, 2.5198 Å; angles 90.00, 90.00, 90.00 degrees
Space group Cmmm (No. 65)
Symmetry-distinct sites (fractional):
Li: 0.0000 0.0000 0.0000 (multiplicity 2)
Zr: 0.0000 0.5000 0.0000 (multiplicity 2)
Cr: 0.2500 0.2500 0.5000 (multiplicity 4)

final energy	-6.801	eV per atom
DOS(E_F)	10.1	states/eV/cell
crystal system	orthorhombic
ΔE_f	0.626	eV/atom



A relaxed Li3ZrCr crystal. Source: Alexandria, functional PBE.

Cell lengths 4.5794, 4.5794, 4.5794 Å; angles 90.00, 90.00, 90.00 degrees
Space group Pm-3m (No. 221)
Symmetry-distinct sites (fractional):
Li: 0.0000 0.0000 0.5000 (multiplicity 3)
Zr: 0.5000 0.5000 0.5000 (multiplicity 1)
Cr: 0.0000 0.0000 0.0000 (multiplicity 1)

final energy	-3.877	eV per atom
DOS(E_F)	2.9	states/eV/cell
crystal system	cubic
ΔE_f	0.905	eV/atom



A relaxed LuMgScCr crystal. Source: Alexandria, functional PBE.

Cell lengths 7.0637, 7.0637, 7.0637 Å; angles 90.00, 90.00, 90.00 degrees
Space group F-43m (No. 216)
Symmetry-distinct sites (fractional):
Lu: 0.0000 0.0000 0.0000 (multiplicity 4)
Mg: 0.2500 0.2500 0.2500 (multiplicity 4)
Sc: 0.0000 0.0000 0.5000 (multiplicity 4)
Cr: 0.2500 0.2500 0.7500 (multiplicity 4)

final energy	-5.376	eV per atom
DOS(E_F)	11.0	states/eV/cell
crystal system	cubic
ΔE_f	0.142	eV/atom



A relaxed TmLuMgCr crystal. Source: Alexandria, functional PBE.

Cell lengths 7.2161, 7.2161, 7.2161 Å; angles 90.00, 90.00, 90.00 degrees
Space group F-43m (No. 216)
Symmetry-distinct sites (fractional):
Tm: 0.0000 0.0000 0.0000 (multiplicity 4)
Lu: 0.0000 0.0000 0.5000 (multiplicity 4)
Mg: 0.2500 0.2500 0.7500 (multiplicity 4)
Cr: 0.2500 0.2500 0.2500 (multiplicity 4)

final energy	-4.916	eV per atom
DOS(E_F)	10.6	states/eV/cell
crystal system	cubic
ΔE_f	0.136	eV/atom



A relaxed YLuMgCr crystal. Source: Alexandria, functional PBE.

Cell lengths 7.2841, 7.2841, 7.2841 Å; angles 90.00, 90.00, 90.00 degrees
Space group F-43m (No. 216)
Symmetry-distinct sites (fractional):
Y: 0.0000 0.0000 0.0000 (multiplicity 4)
Lu: 0.0000 0.0000 0.5000 (multiplicity 4)
Mg: 0.2500 0.2500 0.2500 (multiplicity 4)
Cr: 0.2500 0.2500 0.7500 (multiplicity 4)

final energy	-5.416	eV per atom
DOS(E_F)	10.1	states/eV/cell
crystal system	cubic
ΔE_f	0.134	eV/atom



A relaxed LuMn4Cr crystal. Source: Alexandria, functional PBE.

Cell lengths 6.9021, 6.9021, 6.9021 Å; angles 90.00, 90.00, 90.00 degrees
Space group F-43m (No. 216)
Symmetry-distinct sites (fractional):
Lu: 0.0000 0.0000 0.0000 (multiplicity 4)
Mn: 0.1248 0.1248 0.3752 (multiplicity 16)
Cr: 0.2500 0.2500 0.7500 (multiplicity 4)

final energy	-8.339	eV per atom
DOS(E_F)	31.0	states/eV/cell
crystal system	cubic
ΔE_f	0.132	eV/atom



A relaxed LuCr4Mo crystal. Source: Alexandria, functional PBE.

Cell lengths 7.0203, 7.0203, 7.0203 Å; angles 90.00, 90.00, 90.00 degrees
Space group F-43m (No. 216)
Symmetry-distinct sites (fractional):
Lu: 0.0000 0.0000 0.0000 (multiplicity 4)
Cr: 0.1245 0.1245 0.6245 (multiplicity 16)
Mo: 0.2500 0.2500 0.2500 (multiplicity 4)

final energy	-8.853	eV per atom
DOS(E_F)	13.3	states/eV/cell
crystal system	cubic
ΔE_f	0.121	eV/atom



A relaxed LuCrN2 crystal. Source: Alexandria, functional PBE.

Cell lengths 3.1900, 3.1900, 14.9500 Å; angles 90.00, 90.00, 120.00 degrees
Space group R-3m (No. 166, hexagonal axes)
Symmetry-distinct sites (fractional):
Lu: 0.0000 0.0000 0.0000 (multiplicity 3)
Cr: 0.0000 0.0000 0.5000 (multiplicity 3)
N: 0.0000 0.0000 0.2408 (multiplicity 6)

final energy	-8.813	eV per atom
DOS(E_F)	5.7	states/eV/cell
crystal system	trigonal



A relaxed NdLu2Cr crystal. Source: Alexandria, functional PBE.

Cell lengths 3.4383, 3.4383, 8.9041 Å; angles 90.00, 90.00, 90.00 degrees
Space group P4/mmm (No. 123)
Symmetry-distinct sites (fractional):
Nd: 0.0000 0.0000 0.0000 (multiplicity 1)
Lu: 0.5000 0.5000 0.3087 (multiplicity 2)
Cr: 0.0000 0.0000 0.5000 (multiplicity 1)

final energy	-5.673	eV per atom
DOS(E_F)	4.9	states/eV/cell
crystal system	tetragonal
ΔE_f	0.186	eV/atom